#A
DFT (PBE) results for AcDyBi after structural relaxation.

Unit cell a=4.7809 b=4.7809 c=9.2378 alpha=90.00 beta=90.00 gamma=90.00
With the nearest neighbours (Å) after each atom.
Space group P4/nmm (No. 129, origin choice 2)
One atom of each set of equivalent atoms:
Ac 0.2500 0.2500 0.1511  5 Bi 3.48-3.62
Dy 0.2500 0.7500 0.5000  4 Dy 3.38, 4 Bi 3.39
Bi 0.2500 0.2500 0.7598  4 Dy 3.39, 5 Ac 3.48-3.62


#B
DFT (PBE) results for AcDyBi after structural relaxation.

Unit cell a=4.1688 b=4.1688 c=12.1083 alpha=90.00 beta=90.00 gamma=90.00
With the nearest neighbours (Å) after each atom.
Space group I4mm (No. 107)
One atom of each set of equivalent atoms:
Ac 0.0000 0.0000 0.0000  5 Dy 3.61-3.83, 5 Bi 3.69-3.83
Dy 0.0000 0.0000 0.7016  4 Bi 3.26, 1 Ac 3.61
Bi 0.0000 0.0000 0.3165  4 Dy 3.26


Which of them is least stable? Easy: #B.


#A
DFT (PBE) results for Ac2DyBi after structural relaxation.

Unit cell a=4.4167 b=4.4167 c=7.7013 alpha=90.00 beta=90.00 gamma=90.00
With the nearest neighbours (Å) after each atom.
Space group P4/mmm (No. 123)
One atom of each set of equivalent atoms:
Ac 0.0000 0.0000 0.2332  1 Ac 3.59, 4 Bi 3.60, 4 Dy 3.74
Dy 0.5000 0.5000 0.5000  8 Ac 3.74, 2 Bi 3.85
Bi 0.5000 0.5000 0.0000  8 Ac 3.60, 2 Dy 3.85


#B
DFT (PBE) results for Ac2DyBi after structural relaxation.

Unit cell a=3.7103 b=3.7103 c=38.5326 alpha=90.00 beta=90.00 gamma=120.00
With the nearest neighbours (Å) after each atom.
Space group R-3m (No. 166, hexagonal axes)
One atom of each set of equivalent atoms:
Ac 0.0000 0.0000 0.0912  1 Dy 3.51, 3 Bi 3.61, 6 Ac 3.71
Dy 0.0000 0.0000 0.0000  2 Ac 3.51, 6 Dy 3.71
Bi 0.0000 0.0000 0.5000  6 Ac 3.61, 6 Bi 3.71


Which of them is least stable? Easy: #B.


#A
DFT (PBE) results for AcErBi2 after structural relaxation.

Unit cell a=4.6140 b=4.6140 c=23.9596 alpha=90.00 beta=90.00 gamma=120.00
With the nearest neighbours (Å) after each atom.
Space group R3m (No. 160, hexagonal axes)
One atom of each set of equivalent atoms:
Ac 0.0000 0.0000 0.0000  6 Bi 3.39-3.45
Er 0.0000 0.0000 0.8297  6 Bi 3.22-3.26
Bi 0.0000 0.0000 0.4209  3 Er 3.22, 3 Ac 3.39
Bi 0.0000 0.0000 0.5749  3 Er 3.26, 3 Ac 3.45


#B
DFT (PBE) results for AcErBi2 after structural relaxation.

Unit cell a=3.9798 b=3.9798 c=8.2266 alpha=90.00 beta=90.00 gamma=90.00
With the nearest neighbours (Å) after each atom.
Space group P4/mmm (No. 123)
One atom of each set of equivalent atoms:
Ac 0.0000 0.0000 0.0000  8 Bi 3.61, 4 Ac 3.98
Er 0.0000 0.0000 0.5000  8 Bi 3.37
Bi 0.5000 0.5000 0.2755  4 Er 3.37, 4 Ac 3.61, 1 Bi 3.69


Which of them is least stable? Easy: #B.


#A
DFT (PBE) results for AcErBi2 after structural relaxation.

Unit cell a=8.0891 b=4.6743 c=8.0592 alpha=90.00 beta=109.59 gamma=90.00
With the nearest neighbours (Å) after each atom.
Space group C2/m (No. 12)
One atom of each set of equivalent atoms:
Ac 0.0000 0.0000 0.0000  6 Bi 3.41
Er 0.0000 0.5000 0.5000  6 Bi 3.19
Bi 0.2415 0.0000 0.7246  3 Er 3.19, 3 Ac 3.41


#B
DFT (PBE) results for AcErBi2 after structural relaxation.

Unit cell a=8.0666 b=8.0666 c=8.0666 alpha=90.00 beta=90.00 gamma=90.00
With the nearest neighbours (Å) after each atom.
Space group Fm-3m (No. 225)
One atom of each set of equivalent atoms:
Ac 0.0000 0.0000 0.0000  8 Bi 3.49
Er 0.0000 0.0000 0.5000  8 Bi 3.49
Bi 0.2500 0.2500 0.2500  4 Ac 3.49, 4 Er 3.49


#C
DFT (PBE) results for AcErBi2 after structural relaxation.

Unit cell a=4.6389 b=4.6389 c=15.3559 alpha=90.00 beta=90.00 gamma=120.00
With the nearest neighbours (Å) after each atom.
Space group P6_3/mmc (No. 194)
One atom of each set of equivalent atoms:
Ac 0.3333 0.6667 0.2500  6 Bi 3.43
Er 0.0000 0.0000 0.0000  6 Bi 3.17
Bi 0.3333 0.6667 0.6108  3 Er 3.17, 3 Ac 3.43


#D
DFT (PBE) results for AcErBi2 after structural relaxation.

Unit cell a=3.9877 b=3.9877 c=33.3760 alpha=90.00 beta=90.00 gamma=120.00
With the nearest neighbours (Å) after each atom.
Space group R-3m (No. 166, hexagonal axes)
One atom of each set of equivalent atoms:
Ac 0.0000 0.0000 0.0000  2 Bi 3.35
Er 0.0000 0.0000 0.5000  6 Bi 3.19
Bi 0.0000 0.0000 0.1004  3 Er 3.19, 1 Ac 3.35


Which of them is least stable? Easy: #D.